Material: Pr2VRhO6
Method: DFT, PBE with a Hubbard U
State: optimized geometry

a b c (Å): 5.4808 5.8468 7.8539
angles (deg): 90.00 90.39 90.00
Positions (direct):
O 0.3007 0.6983 0.4516
O 0.8007 0.8017 0.9516
O 0.9033 0.5327 0.2544
O 0.8071 0.7972 0.5503
O 0.1993 0.1983 0.0484
O 0.5967 0.0327 0.2456
O 0.6993 0.3017 0.5484
O 0.3071 0.7028 0.0503
O 0.1929 0.2028 0.4497
O 0.6929 0.2972 0.9497
O 0.0967 0.4673 0.7456
O 0.4033 0.9673 0.7544
Pr 0.9812 0.0633 0.7500
Pr 0.5188 0.5633 0.7500
Pr 0.4812 0.4367 0.2500
Pr 0.0188 0.9367 0.2500
Rh 0.0000 0.5000 0.0000
Rh 0.5000 0.0000 0.5000
V 0.5000 0.0000 0.0000
V 0.0000 0.5000 0.5000

V   12.58 Å³/atom
Total magnetic moment   0.1982 μB/atom
Mass density   7016 kg/m³
Energy   -156.434 eV for the cell shown